Record 1
Material: Be2BBr
Method: DFT, PBE
State: optimized geometry

Symmetry ... Fm-3m (225)
Energy above the most stable polymorph in this dataset ... 932 meV/atom
Mass density ... 3.72 Mg/m³

Cell lengths 4.0946, 4.0946, 4.0946 Å; angles 60.00, 60.00, 60.00 degrees
Atoms (fractional coordinates):
Be 0.2500 0.2500 0.2500
Be 0.7500 0.7500 0.7500
B 0.0000 0.0000 0.0000
Br 0.5000 0.5000 0.5000



Record 2
Material: KNaSr2Tc
Method: DFT, PBE
State: optimized geometry

Symmetry ... P4/mmm (123)
Raw total energy ... -9.3 eV for the cell shown
Mass density ... 2.91 Mg/m³

Cell lengths 6.3544, 6.3544, 4.7465 Å; angles 90.00, 90.00, 90.00 degrees
Atoms (fractional coordinates):
K 0.0000 0.0000 0.0000
Na 0.5000 0.5000 0.5000
Sr 0.0000 0.5000 0.0000
Sr 0.5000 0.0000 0.0000
Tc 0.0000 0.0000 0.5000



Record 3
Material: BaCo2P
Method: DFT, PBE
State: optimized geometry

Symmetry ... P4mm (99)
Raw total energy ... -20.8 eV for the cell shown
Mass density ... 6.52 Mg/m³

Cell lengths 3.2099, 3.2099, 7.0740 Å; angles 90.00, 90.00, 90.00 degrees
Atoms (fractional coordinates):
Ba 0.0000 0.0000 0.0000
Co 0.0000 0.0000 0.5088
Co 0.5000 0.5000 0.3487
P 0.5000 0.5000 0.6528



Repeat the third record exactly.
Material: BaCo2P
Method: DFT, PBE
State: optimized geometry

Symmetry ... P4mm (99)
Raw total energy ... -20.8 eV for the cell shown
Mass density ... 6.52 Mg/m³

Cell lengths 3.2099, 3.2099, 7.0740 Å; angles 90.00, 90.00, 90.00 degrees
Atoms (fractional coordinates):
Ba 0.0000 0.0000 0.0000
Co 0.0000 0.0000 0.5088
Co 0.5000 0.5000 0.3487
P 0.5000 0.5000 0.6528



Question: Number 1 is which compound?
Answer: Be2BBr



Question: Number 2 is which compound?
Answer: KNaSr2Tc